a:
# AlCoI2O | Alexandria | PBE+U | relaxed
data_AlCoI2O
_chemical_formula_sum 'Al1 Co1 I2 O1'
_cell_length_a 5.835
_cell_length_b 5.835
_cell_length_c 3.625
_cell_angle_alpha 90.00
_cell_angle_beta 90.00
_cell_angle_gamma 90.00
_symmetry_space_group_name_H-M 'P 4/m m m'
_symmetry_Int_Tables_number 123
_symmetry_space_group_name_Hall '-P 4 2'
loop_
_atom_site_label
_atom_site_fract_x
_atom_site_fract_y
_atom_site_fract_z
Al1 0.000 0.000 0.000
Co1 0.500 0.500 0.500
I1 0.000 0.500 0.500
O1 0.500 0.500 0.000
# - spin magnetization (μB per cell) = 3.754
# - calculated volume (Å³/atom) = 24.7

***

b:
# AlCoI2O | Alexandria | PBE+U | relaxed
data_AlCoI2O
_chemical_formula_sum 'Al1 Co1 I2 O1'
_cell_length_a 5.681
_cell_length_b 5.681
_cell_length_c 3.503
_cell_angle_alpha 90.00
_cell_angle_beta 90.00
_cell_angle_gamma 90.00
_symmetry_space_group_name_H-M 'P 4/m m m'
_symmetry_Int_Tables_number 123
_symmetry_space_group_name_Hall '-P 4 2'
loop_
_atom_site_label
_atom_site_fract_x
_atom_site_fract_y
_atom_site_fract_z
Al1 0.000 0.000 0.000
Co1 0.500 0.500 0.500
I1 0.000 0.500 0.000
O1 0.000 0.000 0.500
# - spin magnetization (μB per cell) = 2.572
# - calculated volume (Å³/atom) = 22.6

***

Pick the most stable structure from those above. Pick: b